Entry 1:
CeMn2CoN4 | PBE | optimized geometry

Properties
energy: -8.4907 eV/atom
space group: No. 63

Cell: 3.2903 6.0372 9.2004 Å, 90.00 90.00 105.81°
Each line ends with the local moment (μB).
Positions (direct):
Mn 0.5960 0.1920 0.4566  1.61
Mn 0.4040 0.8080 0.9566  1.61
Mn 0.5960 0.1920 0.0434  1.61
Mn 0.4040 0.8080 0.5434  1.61
N 0.6047 0.2093 0.2500  -0.07
N 0.3142 0.6285 0.1097  -0.07
N 0.6858 0.3715 0.8903  -0.07
N 0.0000 0.0000 0.5000  -0.08
N 0.3953 0.7907 0.7500  -0.07
N 0.3142 0.6285 0.3903  -0.07
N 0.0000 0.0000 0.0000  -0.08
N 0.6858 0.3715 0.6097  -0.07
Co 0.2005 0.4010 0.2500  -0.88
Co 0.7995 0.5990 0.7500  -0.88
Ce 0.0779 0.1558 0.7500  0.12
Ce 0.9221 0.8442 0.2500  0.12


Entry 2:
KTaMn | PBE | optimized geometry

Properties
energy: -5.5018 eV/atom
space group: No. 216
ΔH_f (0 K): 1.871 eV/atom

Cell: 4.7453 4.7453 4.7453 Å, 60.00 60.00 60.00°
Each line ends with the local moment (μB).
Positions (direct):
Mn 0.7500 0.7500 0.7500  3.18
K 0.5000 0.5000 0.5000  -0.02
Ta 0.0000 0.0000 0.0000  -1.57


Entry 3:
Th2FeAu | PBE | optimized geometry

Properties
energy: -7.0321 eV/atom
space group: No. 11
ΔH_f (0 K): -0.387 eV/atom

Cell: 4.1342 6.1029 8.1269 Å, 111.16 90.00 90.00°
Positions (direct):
Au 0.7500 0.6603 0.4676
Au 0.2500 0.3397 0.5324
Th 0.2500 0.4458 0.1629
Th 0.7500 0.5542 0.8371
Th 0.7500 0.0150 0.2655
Th 0.2500 0.9850 0.7345
Fe 0.2500 0.8418 0.0343
Fe 0.7500 0.1582 0.9657


Entry 4:
Nd5YEr2 | PBE | optimized geometry

Properties
energy: -4.6651 eV/atom
space group: No. 15
ΔH_f (0 K): 0.263 eV/atom

Cell: 14.7215 14.7216 8.6709 Å, 63.62 63.62 123.41°
Positions (direct):
Nd 0.6244 0.3756 0.7501
Nd 0.9964 0.1258 0.3796
Nd 0.1692 0.4750 0.1705
Nd 0.8742 0.0035 0.1204
Nd 0.4750 0.1692 0.6705
Nd 0.5250 0.8309 0.3294
Nd 0.8309 0.5250 0.8294
Nd 0.1258 0.9964 0.8796
Nd 0.0035 0.8742 0.6205
Nd 0.3756 0.6244 0.2501
Er 0.0000 0.5000 0.4999
Er 0.5000 0.5000 0.5000
Er 0.5000 0.5000 0.0000
Er 0.5001 0.0000 0.9999
Y 0.2044 0.7956 0.7500
Y 0.7956 0.2044 0.2500


Entry 5:
Rb2AlIn2 | PBE | optimized geometry

Properties
energy: -2.1233 eV/atom
space group: No. 127
ΔH_f (0 K): 0.108 eV/atom

Cell: 7.5803 7.5803 6.3240 Å, 90.00 90.00 90.00°
Positions (direct):
Rb 0.8196 0.3196 0.5000
Rb 0.3196 0.1804 0.5000
Rb 0.6804 0.8196 0.5000
Rb 0.1804 0.6804 0.5000
In 0.6401 0.1401 0.0000
In 0.3599 0.8599 0.0000
In 0.1401 0.3599 0.0000
In 0.8599 0.6401 0.0000
Al 0.0000 0.0000 0.0000
Al 0.5000 0.5000 0.0000


Entry 6:
RbGaICl2 | PBE | optimized geometry

Properties
energy: -2.9801 eV/atom
space group: No. 123

Cell: 5.2818 5.2818 5.7255 Å, 90.00 90.00 90.00°
Positions (direct):
Cl 0.5000 0.0000 0.0000
Cl 0.0000 0.5000 0.0000
Ga 0.0000 0.0000 0.0000
I 0.0000 0.0000 0.5000
Rb 0.5000 0.5000 0.5000


Entry 7:
TbErCoNi | PBE | optimized geometry

Properties
energy: -5.8427 eV/atom
space group: No. 38
ΔH_f (0 K): -0.323 eV/atom

Cell: 3.8263 3.9470 5.5440 Å, 90.00 110.19 90.00°
Positions (direct):
Ni 0.5667 0.5000 0.1335
Er 0.8597 0.5000 0.7194
Tb 0.1439 0.0000 0.2878
Co 0.4297 0.0000 0.8593


Entry 8:
Zn11Ag4Au9 | PBE | optimized geometry

Properties
energy: -2.4388 eV/atom
space group: No. 65
ΔH_f (0 K): -0.151 eV/atom

Cell: 2.8902 11.9452 11.9452 Å, 106.40 90.00 90.00°
Positions (direct):
Au 0.5000 0.0090 0.2074
Au 0.5000 0.1650 0.6060
Au 0.5000 0.9910 0.7926
Au 0.5000 0.5000 0.5000
Au 0.5000 0.8350 0.3940
Au 0.5000 0.2074 0.0090
Au 0.5000 0.7926 0.9910
Au 0.5000 0.6060 0.1650
Au 0.5000 0.3940 0.8350
Zn 0.0000 0.1929 0.8071
Zn 0.0000 0.3761 0.6239
Zn 0.0000 0.8071 0.1929
Zn 0.0000 0.6239 0.3761
Zn 0.0000 0.9543 0.5915
Zn 0.0000 0.5915 0.9543
Zn 0.0000 0.0457 0.4085
Zn 0.0000 0.0000 0.0000
Zn 0.0000 0.4085 0.0457
Zn 0.0000 0.7989 0.7989
Zn 0.0000 0.2011 0.2011
Ag 0.5000 0.5944 0.7476
Ag 0.5000 0.4056 0.2524
Ag 0.5000 0.7476 0.5944
Ag 0.5000 0.2524 0.4056


Question: Look up the energy of the fourth one.
Answer: -4.6651 eV/atom


Question: The highest energy belongs to which entry?
Answer: Rb2AlIn2